Here is a crystal of NaInHgBr2 relaxed with PBEsol from the Alexandria database. Energies are from SCAN.

Total energy ... -148.3 eV/f.u.
Formation energy without anion corrections ... -0.72 eV per atom
Space-group type ... P4/mmm (123)
Fermi-level density of states ... 0.00 states/eV/cell

abc: 5.4290 5.4290 5.4382
angles: 90.00 90.00 90.00
Closest atoms and distances in Å follow each position.
Fractional positions:
Na: 0.0000 0.0000 0.0000  4 Br 2.71, 2 Hg 2.72
In: 0.5000 0.5000 0.5000  4 Hg 3.84, 8 Br 3.84
Hg: 0.0000 0.0000 0.5000  2 Na 2.72
Br: 0.0000 0.5000 0.0000  2 Na 2.71
Br: 0.5000 0.0000 0.0000  2 Na 2.71

***

Here is a crystal of InHgSe2Br relaxed with PBEsol from the Alexandria database. Energies are from SCAN.

Total energy ... -160.5 eV/f.u.
Formation energy without anion corrections ... 0.13 eV per atom
Space-group type ... P4/mmm (123)
Fermi-level density of states ... 5.37 states/eV/cell

abc: 5.2517 5.2517 5.2767
angles: 90.00 90.00 90.00
Closest atoms and distances in Å follow each position.
Fractional positions:
In: 0.0000 0.0000 0.0000  4 Se 2.63, 2 Br 2.64
Hg: 0.5000 0.5000 0.5000  4 Br 3.71, 8 Se 3.72
Se: 0.0000 0.5000 0.0000  2 In 2.63
Se: 0.5000 0.0000 0.0000  2 In 2.63
Br: 0.0000 0.0000 0.5000  2 In 2.64

***

Here is a crystal of HgIr3Br relaxed with PBEsol from the Alexandria database. Energies are from SCAN.

Total energy ... -290.6 eV/f.u.
Formation energy without anion corrections ... 2.06 eV per atom
Space-group type ... Pm-3m (221)
Fermi-level density of states ... 5.40 states/eV/cell

abc: 4.5760 4.5760 4.5760
angles: 90.00 90.00 90.00
Closest atoms and distances in Å follow each position.
Fractional positions:
Hg: 0.0000 0.0000 0.0000  12 Ir 3.24
Ir: 0.0000 0.5000 0.5000  2 Br 2.29
Ir: 0.5000 0.0000 0.5000  2 Br 2.29
Ir: 0.5000 0.5000 0.0000  2 Br 2.29
Br: 0.5000 0.5000 0.5000  6 Ir 2.29

***

Here is a crystal of HgIrSeBr2 relaxed with PBEsol from the Alexandria database. Energies are from SCAN.

Total energy ... -197.1 eV/f.u.
Formation energy without anion corrections ... 0.23 eV per atom
Space-group type ... P4/mmm (123)
Fermi-level density of states ... 2.85 states/eV/cell

abc: 5.2018 5.2018 4.6335
angles: 90.00 90.00 90.00
Closest atoms and distances in Å follow each position.
Fractional positions:
Hg: 0.0000 0.0000 0.0000  8 Br 3.48, 4 Se 3.68
Ir: 0.5000 0.5000 0.5000  2 Se 2.32
Se: 0.5000 0.5000 0.0000  2 Ir 2.32
Br: 0.0000 0.5000 0.5000  2 Ir 2.60
Br: 0.5000 0.0000 0.5000  2 Ir 2.60

***

Here is a crystal of KNaHg2Br relaxed with PBEsol from the Alexandria database. Energies are from SCAN.

Total energy ... -170.4 eV/f.u.
Formation energy without anion corrections ... -0.42 eV per atom
Space-group type ... P4/mmm (123)
Fermi-level density of states ... 1.28 states/eV/cell

abc: 5.4247 5.4247 6.8420
angles: 90.00 90.00 90.00
Closest atoms and distances in Å follow each position.
Fractional positions:
K: 0.0000 0.0000 0.0000  2 Na 3.42
Na: 0.0000 0.0000 0.5000  4 Hg 2.71
Hg: 0.0000 0.5000 0.5000  2 Na 2.71
Hg: 0.5000 0.0000 0.5000  2 Na 2.71
Br: 0.5000 0.5000 0.0000  4 K 3.84

***

Here is a crystal of La2HgBr relaxed with PBEsol from the Alexandria database. Energies are from SCAN.

Total energy ... -178.4 eV/f.u.
Energy relative to the lowest polymorph listed for this composition ... 0 meV/atom
Formation energy without anion corrections ... -1.15 eV per atom
Space-group type ... P4/mmm (123)
Fermi-level density of states ... 2.75 states/eV/cell

abc: 4.3590 4.3590 6.2542
angles: 90.00 90.00 90.00
Closest atoms and distances in Å follow each position.
Fractional positions:
La: 0.0000 0.0000 0.0000  4 Br 3.08, 2 Hg 3.13
La: 0.5000 0.5000 0.5000  4 Hg 3.08, 2 Br 3.13
Hg: 0.0000 0.0000 0.5000  6 La 3.08-3.13
Br: 0.5000 0.5000 0.0000  6 La 3.08-3.13

***

Here is a crystal of La2HgBr relaxed with PBEsol from the Alexandria database. Energies are from SCAN.

Total energy ... -178.0 eV/f.u.
Energy relative to the lowest polymorph listed for this composition ... 104 meV/atom
Formation energy without anion corrections ... -1.04 eV per atom
Space-group type ... P2/m (10)
Fermi-level density of states ... 2.44 states/eV/cell

abc: 3.7296 3.8679 8.4257
angles: 90.00 90.12 90.00
Closest atoms and distances in Å follow each position.
Fractional positions:
La: 0.0009 0.0000 0.2246  2 Br 3.02, 4 Hg 3.29
La: 0.9991 0.0000 0.7754  2 Br 3.02, 4 Hg 3.29
Hg: 0.5000 0.5000 0.0000  8 La 3.29
Br: 0.0000 0.5000 0.5000  4 La 3.02

***

Here is a crystal of La2HgBr relaxed with PBEsol from the Alexandria database. Energies are from SCAN.

Total energy ... -175.0 eV/f.u.
Energy relative to the lowest polymorph listed for this composition ... 866 meV/atom
Formation energy without anion corrections ... -0.28 eV per atom
Space-group type ... F-43m (216)
Fermi-level density of states ... 5.26 states/eV/cell

abc: 5.3455 5.3455 5.3455
angles: 60.00 60.00 60.00
Closest atoms and distances in Å follow each position.
Fractional positions:
La: 0.0000 0.0000 0.0000  4 Br 3.27, 4 La 3.27
La: 0.2500 0.2500 0.2500  4 Hg 3.27, 4 La 3.27
Hg: 0.5000 0.5000 0.5000  4 La 3.27, 4 Br 3.27
Br: 0.7500 0.7500 0.7500  4 Hg 3.27, 4 La 3.27

***

Here is a crystal of La2HgBr relaxed with PBEsol from the Alexandria database. Energies are from SCAN.

Total energy ... -177.4 eV/f.u.
Energy relative to the lowest polymorph listed for this composition ... 249 meV/atom
Formation energy without anion corrections ... -0.90 eV per atom
Space-group type ... Fm-3m (225)
Fermi-level density of states ... 5.92 states/eV/cell

abc: 5.3735 5.3735 5.3735
angles: 60.00 60.00 60.00
Closest atoms and distances in Å follow each position.
Fractional positions:
La: 0.2500 0.2500 0.2500  4 Br 3.29, 4 Hg 3.29
La: 0.7500 0.7500 0.7500  4 Br 3.29, 4 Hg 3.29
Hg: 0.0000 0.0000 0.0000  8 La 3.29
Br: 0.5000 0.5000 0.5000  8 La 3.29

***

Here is a crystal of La2HgBr relaxed with PBEsol from the Alexandria database. Energies are from SCAN.

Total energy ... -178.2 eV/f.u.
Energy relative to the lowest polymorph listed for this composition ... 59 meV/atom
Formation energy without anion corrections ... -1.09 eV per atom
Space-group type ... R-3m (166)
Fermi-level density of states ... 3.19 states/eV/cell

abc: 7.5243 7.5243 7.5243
angles: 34.11 34.11 34.11
Closest atoms and distances in Å follow each position.
Fractional positions:
La: 0.2467 0.2467 0.2467  3 Br 3.06, 3 Hg 3.14
La: 0.7533 0.7533 0.7533  3 Br 3.06, 3 Hg 3.14
Hg: 0.0000 0.0000 0.0000  6 La 3.14
Br: 0.5000 0.5000 0.5000  6 La 3.06

***

Here is a crystal of LaHgBr3 relaxed with PBEsol from the Alexandria database. Energies are from SCAN.

Total energy ... -177.9 eV/f.u.
Formation energy without anion corrections ... -1.66 eV per atom
Space-group type ... Pm-3m (221)
Fermi-level density of states ... 0.00 states/eV/cell

abc: 5.7880 5.7880 5.7880
angles: 90.00 90.00 90.00
Closest atoms and distances in Å follow each position.
Fractional positions:
La: 0.0000 0.0000 0.0000  6 Br 2.89
Hg: 0.5000 0.5000 0.5000  12 Br 4.09
Br: 0.0000 0.0000 0.5000  2 La 2.89
Br: 0.0000 0.5000 0.0000  2 La 2.89
Br: 0.5000 0.0000 0.0000  2 La 2.89

***

Here is a crystal of La2HgBr relaxed with PBEsol from the Alexandria database. Energies are from SCAN.

Total energy ... -176.8 eV/f.u.
Energy relative to the lowest polymorph listed for this composition ... 411 meV/atom
Formation energy without anion corrections ... -0.74 eV per atom
Space-group type ... R3m (160)
Fermi-level density of states ... 1.22 states/eV/cell

abc: 10.4150 10.4150 10.4150
angles: 21.06 21.06 21.06
Closest atoms and distances in Å follow each position.
Fractional positions:
La: 0.0000 0.0000 0.0000  3 Hg 3.25
La: 0.2370 0.2370 0.2370  3 Br 3.06
Hg: 0.7451 0.7451 0.7451  3 La 3.25, 3 Br 3.50
Br: 0.5008 0.5008 0.5008  3 La 3.06